An optimized crystal structure of CsRbTe2, computed with PBE.

Structure (POSCAR):
```
CsRbTe2
1.0
-1.634 5.693 -3.278
-3.241 -5.598 -8.106
-10.914 -0.445 4.670
Cs Rb Te
4 4 8
direct
0.750 0.929 0.368
0.750 0.429 0.132
0.250 0.071 0.632
0.250 0.571 0.868
0.750 0.905 0.881
0.750 0.405 0.619
0.250 0.095 0.119
0.250 0.595 0.381
0.959 0.740 0.624
0.541 0.240 0.876
0.459 0.260 0.376
0.041 0.760 0.124
0.041 0.260 0.376
0.459 0.760 0.124
0.541 0.740 0.624
0.959 0.240 0.876
```

Properties
formation energy from raw total energies	-3.47	eV per formula unit
energy relative to the lowest polymorph listed for this composition	0.00	eV per formula unit
crystal system	orthorhombic


An optimized crystal structure of RbThBi2, computed with PBE.

Structure (POSCAR):
```
RbThBi2
1.0
4.231 0.000 0.000
0.000 4.231 0.000
0.000 0.000 8.491
Rb Bi Th
1 2 1
direct
0.500 0.500 0.500
0.000 0.000 0.806
0.000 0.000 0.194
0.500 0.500 0.000
```

Properties
formation energy from the elements	-0.394	eV per atom
energy relative to the lowest polymorph listed for this composition	0.00	eV per formula unit
crystal system	tetragonal


An optimized crystal structure of In4HgBiTe, computed with PBE.

Structure (POSCAR):
```
In4HgBiTe
1.0
-6.337 0.838 3.407
2.967 -1.141 5.799
4.678 8.569 -0.708
In Hg Bi Te
8 2 2 2
direct
0.056 0.507 0.728
0.944 0.007 0.272
0.944 0.493 0.272
0.056 0.993 0.728
0.333 0.750 0.006
0.667 0.250 0.994
0.416 0.750 0.633
0.584 0.250 0.367
0.285 0.750 0.286
0.715 0.250 0.714
0.732 0.750 0.450
0.268 0.250 0.550
0.715 0.750 0.952
0.285 0.250 0.048
```

Properties
formation energy from raw total energies	-0.21	eV per formula unit
crystal system	monoclinic


An optimized crystal structure of Mn2PtSe, computed with PBE.

Structure (POSCAR):
```
Mn2PtSe
1.0
8.860 -0.070 -0.041
8.411 2.788 -0.041
8.411 1.323 2.454
Mn Pt Se
2 1 1
direct
0.001 0.001 0.001
0.257 0.257 0.257
0.511 0.511 0.511
0.731 0.731 0.731
```

Properties
formation energy from raw total energies	0.31	eV per formula unit
crystal system	trigonal


An optimized crystal structure of Ce2HoScBi4, computed with PBE.

Structure (POSCAR):
```
Ce2HoScBi4
1.0
-2.305 0.090 3.854
-4.025 -6.229 -2.262
3.660 -6.453 2.339
Ce Ho Sc Bi
2 1 1 4
direct
0.000 0.000 0.000
0.500 0.000 0.500
0.000 0.500 0.500
0.500 0.500 0.000
0.000 0.733 0.762
0.000 0.267 0.238
0.500 0.738 0.248
0.500 0.262 0.752
```

Properties
formation energy from the elements	-0.761	eV per atom
crystal system	monoclinic


An optimized crystal structure of Pr2Al2Ga3, computed with PBE.

Structure (POSCAR):
```
Pr2Al2Ga3
1.0
4.295 0.000 -1.024
0.000 7.239 0.000
0.091 0.000 9.900
Pr Al Ga
4 4 6
direct
0.158 0.250 0.317
0.842 0.750 0.683
0.947 0.250 0.894
0.053 0.750 0.106
0.676 0.933 0.353
0.324 0.067 0.647
0.324 0.433 0.647
0.676 0.567 0.353
0.222 0.750 0.444
0.778 0.250 0.556
0.557 0.423 0.114
0.443 0.577 0.886
0.443 0.923 0.886
0.557 0.077 0.114
```

Properties
formation energy from the elements	-0.519	eV per atom
crystal system	orthorhombic


An optimized crystal structure of ZnPHO2, computed with PBE.

Structure (POSCAR):
```
ZnPHO2
1.0
-1.681 1.751 3.232
-3.673 -0.669 -1.547
-0.097 -2.564 1.339
P Zn O H
1 1 2 1
direct
0.000 0.000 0.500
0.500 0.500 0.500
0.000 0.500 0.000
0.500 0.000 0.000
0.000 0.000 0.000
```

Properties
energy relative to the lowest polymorph listed for this composition	0.00	eV per formula unit
crystal system	tetragonal


An optimized crystal structure of CaBe2IrCl, computed with PBE.

Structure (POSCAR):
```
CaBe2IrCl
1.0
-1.098 -0.464 -3.956
4.550 -1.452 -1.092
-1.069 -3.919 0.756
Be Ca Ir Cl
2 1 1 1
direct
0.000 0.000 0.500
0.500 0.000 0.000
0.000 0.500 0.000
0.500 0.500 0.500
0.000 0.000 0.000
```

Properties
formation energy from raw total energies	3.35	eV per formula unit
crystal system	tetragonal


Number 1: E_tot -2.89 eV per atom, volume 52.12 Å³ per atom. Number 2: E_tot -4.43 eV per atom, volume 38.01 Å³ per atom. Number 3: E_tot -2.64 eV per atom, volume 31.37 Å³ per atom. Number 4: E_tot -6.89 eV per atom, volume 15.77 Å³ per atom. Number 5: E_tot -5.55 eV per atom, volume 31.91 Å³ per atom. Number 6: E_tot -4.25 eV per atom, volume 22.04 Å³ per atom. Number 7: E_tot -3.65 eV per atom, volume 9.45 Å³ per atom. Number 8: E_tot -3.36 eV per atom, volume 16.73 Å³ per atom.